<1>
Below is an optimized crystal structure of Ho3Tm5Sc2, with properties calculated at the PBE-GGA level.

Unit cell a=10.702 b=10.702 c=10.702 alpha=108.24 beta=81.46 gamma=146.66
Positions (direct):
Ho: 0.245 0.157 0.402
Ho: 0.250 0.250 0.000
Ho: 0.255 0.657 0.913
Ho: 0.745 0.343 0.087
Ho: 0.750 0.750 0.000
Ho: 0.755 0.843 0.598
Tm: 0.159 0.402 0.561
Tm: 0.250 0.001 0.751
Tm: 0.250 0.499 0.249
Tm: 0.250 0.750 0.500
Tm: 0.341 0.902 0.242
Tm: 0.659 0.098 0.758
Tm: 0.750 0.250 0.500
Tm: 0.750 0.501 0.751
Tm: 0.750 0.999 0.249
Tm: 0.841 0.598 0.439
Sc: 0.155 0.899 0.054
Sc: 0.345 0.399 0.744
Sc: 0.655 0.601 0.256
Sc: 0.845 0.101 0.946

Computed properties:
As for the crystal system: orthorhombic. For the calculated volume, the calculation gives 31.2 Å³/atom.

---

<2>
Below is an optimized crystal structure of Ho3Tm5Sc2, with properties calculated at the PBE-GGA level.

Unit cell a=9.363 b=9.363 c=9.097 alpha=108.62 beta=108.62 gamma=112.23
Positions (direct):
Ho: 0.016 0.984 0.750
Ho: 0.221 0.477 0.452
Ho: 0.477 0.221 0.952
Ho: 0.523 0.779 0.048
Ho: 0.779 0.523 0.548
Ho: 0.984 0.016 0.250
Tm: 0.113 0.393 0.762
Tm: 0.219 0.781 0.750
Tm: 0.279 0.721 0.250
Tm: 0.393 0.113 0.262
Tm: 0.478 0.522 0.250
Tm: 0.522 0.478 0.750
Tm: 0.607 0.887 0.738
Tm: 0.721 0.279 0.750
Tm: 0.781 0.219 0.250
Tm: 0.887 0.607 0.238
Sc: 0.014 0.281 0.048
Sc: 0.281 0.014 0.548
Sc: 0.719 0.986 0.452
Sc: 0.986 0.719 0.952

Computed properties:
As for the crystal system: monoclinic. For the calculated volume, the calculation gives 30.3 Å³/atom.

---

Stability order, top to bottom: <2>, <1>

---

<1>
Below is an optimized crystal structure of Ho8TmSc2, with properties calculated at the PBE-GGA level.

Unit cell a=9.093 b=9.093 c=5.751 alpha=105.92 beta=105.92 gamma=121.92
Positions (direct):
Ho: 0.097 0.341 0.681
Ho: 0.207 0.793 0.000
Ho: 0.341 0.097 0.681
Ho: 0.435 0.435 0.209
Ho: 0.565 0.565 0.791
Ho: 0.659 0.903 0.319
Ho: 0.793 0.207 0.000
Ho: 0.903 0.659 0.319
Tm: 0.000 0.000 0.000
Sc: 0.311 0.689 0.500
Sc: 0.689 0.311 0.500

Computed properties:
As for the crystal system: monoclinic. For the calculated volume, the calculation gives 30.3 Å³/atom.

---

<2>
Below is an optimized crystal structure of Ho8TmSc2, with properties calculated at the PBE-GGA level.

Unit cell a=9.088 b=9.088 c=6.353 alpha=108.90 beta=108.90 gamma=42.71
Positions (direct):
Ho: 0.065 0.065 0.244
Ho: 0.158 0.636 0.302
Ho: 0.289 0.289 0.675
Ho: 0.364 0.842 0.698
Ho: 0.636 0.158 0.302
Ho: 0.711 0.711 0.325
Ho: 0.842 0.364 0.698
Ho: 0.935 0.935 0.756
Tm: 0.500 0.500 0.000
Sc: 0.221 0.221 0.105
Sc: 0.779 0.779 0.895

Computed properties:
As for the crystal system: monoclinic. For the calculated volume, the calculation gives 30.3 Å³/atom.

---

Stability order, top to bottom: <1>, <2>

---

<1>
Below is an optimized crystal structure of Ho7Tm12Sc, with properties calculated at the PBE-GGA level.

Unit cell a=10.821 b=10.821 c=10.821 alpha=116.04 beta=116.04 gamma=116.04
Positions (direct):
Ho: 0.000 0.000 0.000
Ho: 0.143 0.442 0.310
Ho: 0.310 0.143 0.442
Ho: 0.442 0.310 0.143
Ho: 0.558 0.690 0.857
Ho: 0.690 0.857 0.558
Ho: 0.857 0.558 0.690
Tm: 0.010 0.798 0.586
Tm: 0.202 0.414 0.990
Tm: 0.236 0.755 0.300
Tm: 0.245 0.700 0.764
Tm: 0.300 0.236 0.755
Tm: 0.414 0.990 0.202
Tm: 0.586 0.010 0.798
Tm: 0.700 0.764 0.245
Tm: 0.755 0.300 0.236
Tm: 0.764 0.245 0.700
Tm: 0.798 0.586 0.010
Tm: 0.990 0.202 0.414
Sc: 0.500 0.500 0.500

Computed properties:
As for the crystal system: trigonal. For the calculated volume, the calculation gives 31.9 Å³/atom.

---

<2>
Below is an optimized crystal structure of Ho7Tm12Sc, with properties calculated at the PBE-GGA level.

Unit cell a=8.570 b=8.570 c=8.570 alpha=87.02 beta=87.02 gamma=87.02
Positions (direct):
Ho: 0.000 0.000 0.000
Ho: 0.145 0.498 0.607
Ho: 0.393 0.855 0.502
Ho: 0.498 0.607 0.145
Ho: 0.502 0.393 0.855
Ho: 0.607 0.145 0.498
Ho: 0.855 0.502 0.393
Tm: 0.072 0.151 0.395
Tm: 0.145 0.742 0.268
Tm: 0.151 0.395 0.072
Tm: 0.258 0.732 0.855
Tm: 0.268 0.145 0.742
Tm: 0.395 0.072 0.151
Tm: 0.605 0.928 0.849
Tm: 0.732 0.855 0.258
Tm: 0.742 0.268 0.145
Tm: 0.849 0.605 0.928
Tm: 0.855 0.258 0.732
Tm: 0.928 0.849 0.605
Sc: 0.500 0.500 0.500

Computed properties:
As for the crystal system: trigonal. For the calculated volume, the calculation gives 31.4 Å³/atom.

---

Stability order, top to bottom: <2>, <1>

---

<1>
Below is an optimized crystal structure of HoTm5Sc4, with properties calculated at the PBE-GGA level.

Unit cell a=7.526 b=7.526 c=7.526 alpha=99.40 beta=99.40 gamma=132.32
Positions (direct):
Ho: 0.000 0.000 0.000
Tm: 0.029 0.126 0.611
Tm: 0.126 0.515 0.097
Tm: 0.418 0.029 0.903
Tm: 0.515 0.418 0.389
Tm: 0.542 0.542 0.000
Sc: 0.128 0.827 0.412
Sc: 0.415 0.716 0.588
Sc: 0.716 0.128 0.302
Sc: 0.827 0.415 0.698

Computed properties:
As for the crystal system: tetragonal. For the calculated volume, the calculation gives 28.8 Å³/atom.

---

<2>
Below is an optimized crystal structure of HoTm5Sc4, with properties calculated at the PBE-GGA level.

Unit cell a=9.944 b=11.127 c=5.350 alpha=90.00 beta=90.00 gamma=90.00
Positions (direct):
Ho: 0.250 0.250 0.250
Ho: 0.750 0.750 0.750
Tm: 0.053 0.050 0.250
Tm: 0.053 0.450 0.250
Tm: 0.250 0.750 0.749
Tm: 0.447 0.050 0.250
Tm: 0.447 0.450 0.250
Tm: 0.553 0.550 0.750
Tm: 0.553 0.950 0.750
Tm: 0.750 0.250 0.251
Tm: 0.947 0.550 0.750
Tm: 0.947 0.950 0.750
Sc: 0.004 0.250 0.751
Sc: 0.250 0.059 0.750
Sc: 0.250 0.441 0.750
Sc: 0.496 0.250 0.751
Sc: 0.504 0.750 0.249
Sc: 0.750 0.559 0.250
Sc: 0.750 0.941 0.250
Sc: 0.996 0.750 0.249

Computed properties:
As for the crystal system: orthorhombic. For the calculated volume, the calculation gives 29.6 Å³/atom.

---

Stability order, top to bottom: <2>, <1>

---

<1>
Below is an optimized crystal structure of Ho3TmSc6, with properties calculated at the PBE-GGA level.

Unit cell a=6.517 b=6.517 c=6.517 alpha=89.90 beta=89.90 gamma=89.90
Positions (direct):
Ho: 0.000 0.000 0.000
Ho: 0.248 0.248 0.248
Ho: 0.748 0.748 0.748
Tm: 0.500 0.500 0.500
Sc: 0.079 0.741 0.410
Sc: 0.243 0.578 0.909
Sc: 0.410 0.079 0.741
Sc: 0.578 0.909 0.243
Sc: 0.741 0.410 0.079
Sc: 0.909 0.243 0.578

Computed properties:
As for the crystal system: trigonal. For the calculated volume, the calculation gives 27.7 Å³/atom.

---

<2>
Below is an optimized crystal structure of Ho3TmSc6, with properties calculated at the PBE-GGA level.

Unit cell a=10.381 b=10.381 c=5.821 alpha=90.00 beta=90.00 gamma=119.54
Positions (direct):
Ho: 0.105 0.895 0.500
Ho: 0.221 0.432 0.907
Ho: 0.432 0.221 0.407
Ho: 0.568 0.779 0.907
Ho: 0.779 0.568 0.407
Ho: 0.895 0.105 0.000
Tm: 0.289 0.711 0.594
Tm: 0.711 0.289 0.094
Sc: 0.040 0.467 0.303
Sc: 0.114 0.217 0.461
Sc: 0.215 0.785 0.077
Sc: 0.217 0.114 0.961
Sc: 0.452 0.548 0.373
Sc: 0.467 0.040 0.803
Sc: 0.533 0.960 0.303
Sc: 0.548 0.452 0.873
Sc: 0.783 0.886 0.461
Sc: 0.785 0.215 0.577
Sc: 0.886 0.783 0.961
Sc: 0.960 0.533 0.803

Computed properties:
As for the crystal system: orthorhombic. For the calculated volume, the calculation gives 27.3 Å³/atom.

---

Stability order, top to bottom: <2>, <1>

---

<1>
Below is an optimized crystal structure of YHoTmSc, with properties calculated at the PBE-GGA level.

Unit cell a=5.517 b=5.517 c=5.517 alpha=60.00 beta=60.00 gamma=60.00
Positions (direct):
Y: 0.000 0.000 0.000
Ho: 0.500 0.500 0.500
Tm: 0.750 0.750 0.750
Sc: 0.250 0.250 0.250

Computed properties:
As for the crystal system: cubic. For the calculated volume, the calculation gives 29.7 Å³/atom.

---

<2>
Below is an optimized crystal structure of YHoTmSc, with properties calculated at the PBE-GGA level.

Unit cell a=5.981 b=5.981 c=5.981 alpha=131.52 beta=131.52 gamma=70.99
Positions (direct):
Y: 0.000 0.000 0.000
Ho: 0.750 0.250 0.500
Tm: 0.500 0.500 0.000
Sc: 0.250 0.750 0.500

Computed properties:
As for the crystal system: tetragonal. For the calculated volume, the calculation gives 29.4 Å³/atom.

---

Stability order, top to bottom: <2>, <1>